1.
Entry from Alexandria via LeMat-Bulk: a relaxed structure of CaTaHg2Ir (PBE).

Output
The calculation puts the total magnetization at 1.3 μB/f.u. The calculation puts the density of states at the Fermi level at 6.80 states/eV/f.u. The value obtained for the formation energy is 1.716 eV per atom.

abc: 5.2255 5.2255 5.6503
angles: 90.00 90.00 90.00
Space group P4/mmm (No. 123)
Asymmetric unit:
Ca  0.0000  0.0000  0.0000 x1
Ta  0.0000  0.0000  0.5000 x1
Hg  0.0000  0.5000  0.5000 x2
Ir  0.5000  0.5000  0.0000 x1

---

2.
Entry from Alexandria via LeMat-Bulk: a relaxed structure of CaTbHgIr (PBE).

Output
The calculation puts the total magnetization at 0.0 μB/f.u. The calculation puts the density of states at the Fermi level at 3.52 states/eV/f.u. The value obtained for the formation energy is -0.469 eV per atom.

abc: 7.1434 7.1434 7.1434
angles: 90.00 90.00 90.00
Space group F-43m (No. 216)
Asymmetric unit:
Ca  0.0000  0.0000  0.0000 x4
Tb  0.0000  0.0000  0.5000 x4
Hg  0.2500  0.2500  0.7500 x4
Ir  0.2500  0.2500  0.2500 x4

---

3.
Entry from Alexandria via LeMat-Bulk: a relaxed structure of Ca2HgTeIr (PBE).

Output
The calculation puts the total magnetization at 0.0 μB/f.u. The calculation puts the density of states at the Fermi level at 1.06 states/eV/f.u. The value obtained for the energy relative to the elements, uncorrected is -0.44 eV per atom.

abc: 5.4664 5.4664 5.1303
angles: 90.00 90.00 90.00
Space group P4/mmm (No. 123)
Asymmetric unit:
Ca  0.0000  0.5000  0.0000 x2
Hg  0.0000  0.0000  0.5000 x1
Te  0.5000  0.5000  0.5000 x1
Ir  0.0000  0.0000  0.0000 x1

---

4.
Entry from Alexandria via LeMat-Bulk: a relaxed structure of CaTiHgIr2 (PBE).

Output
The calculation puts the total magnetization at 0.0 μB/f.u. The calculation puts the density of states at the Fermi level at 9.90 states/eV/f.u. The value obtained for the formation energy is 1.211 eV per atom.

abc: 5.0783 5.0783 4.7967
angles: 90.00 90.00 90.00
Space group P4/mmm (No. 123)
Asymmetric unit:
Ca  0.0000  0.0000  0.0000 x1
Ti  0.5000  0.5000  0.0000 x1
Hg  0.5000  0.5000  0.5000 x1
Ir  0.0000  0.5000  0.5000 x2

---

5.
Entry from Alexandria via LeMat-Bulk: a relaxed structure of CaTmHgIr (PBE).

Output
The calculation puts the total magnetization at 0.0 μB/f.u. The calculation puts the density of states at the Fermi level at 3.01 states/eV/f.u. The value obtained for the formation energy is -0.481 eV per atom.

abc: 7.0734 7.0734 7.0734
angles: 90.00 90.00 90.00
Space group F-43m (No. 216)
Asymmetric unit:
Ca  0.0000  0.0000  0.0000 x4
Tm  0.0000  0.0000  0.5000 x4
Hg  0.2500  0.2500  0.7500 x4
Ir  0.2500  0.2500  0.2500 x4

---

6.
Entry from Alexandria via LeMat-Bulk: a relaxed structure of CaYHgIr (PBE).

Output
The calculation puts the total magnetization at 0.0 μB/f.u. The calculation puts the density of states at the Fermi level at 3.40 states/eV/f.u. The value obtained for the formation energy is -0.471 eV per atom.

abc: 7.1365 7.1365 7.1365
angles: 90.00 90.00 90.00
Space group F-43m (No. 216)
Asymmetric unit:
Ca  0.0000  0.0000  0.0000 x4
Y  0.0000  0.0000  0.5000 x4
Hg  0.2500  0.2500  0.2500 x4
Ir  0.2500  0.2500  0.7500 x4

---

7.
Entry from Alexandria via LeMat-Bulk: a relaxed structure of KCa2Hg (PBE).

Output
The calculation puts the total magnetization at 0.0 μB/f.u. The calculation puts the density of states at the Fermi level at 2.85 states/eV/f.u. The value obtained for the formation energy is -0.219 eV per atom.

abc: 3.8640 3.8656 10.5992
angles: 90.00 90.48 90.00
Space group P2/m (No. 10)
Asymmetric unit:
K  0.0000  0.0000  0.0000 x1
Ca  0.4961  0.5000  0.3317 x2
Hg  0.0000  0.0000  0.5000 x1

---

8.
Entry from Alexandria via LeMat-Bulk: a relaxed structure of K2CaHg (PBE).

Output
The calculation puts the total magnetization at 0.0 μB/f.u. The calculation puts the density of states at the Fermi level at 3.03 states/eV/f.u. The value obtained for the formation energy is 0.023 eV per atom.

abc: 8.6925 8.6925 8.6925
angles: 90.00 90.00 90.00
Space group F-43m (No. 216)
Asymmetric unit:
K  0.0000  0.0000  0.0000 x4
K  0.2500  0.2500  0.2500 x4
Ca  0.0000  0.0000  0.5000 x4
Hg  0.2500  0.2500  0.7500 x4

---

9.
Entry from Alexandria via LeMat-Bulk: a relaxed structure of K2CaHg10 (PBE).

Output
The calculation puts the total magnetization at 0.0 μB/f.u. The calculation puts the density of states at the Fermi level at 5.05 states/eV/f.u. The value obtained for the formation energy is -0.142 eV per atom.

abc: 11.2644 12.2296 6.8676
angles: 90.00 90.00 90.00
Space group Pbam (No. 55)
Asymmetric unit:
K  0.1618  0.0986  0.0000 x4
Ca  0.0000  0.5000  0.5000 x2
Hg  0.0392  0.8840  0.5000 x4
Hg  0.0594  0.6935  0.2139 x8
Hg  0.1910  0.3132  0.5000 x4
Hg  0.2354  0.0676  0.5000 x4

---

10.
Entry from Alexandria via LeMat-Bulk: a relaxed structure of KCa2Hg9 (PBE).

Output
The calculation puts the total magnetization at 0.0 μB/f.u. The calculation puts the density of states at the Fermi level at 3.46 states/eV/f.u. The value obtained for the formation energy is -0.310 eV per atom.

abc: 4.7710 4.7710 14.4644
angles: 90.00 90.00 90.00
Space group P4/mmm (No. 123)
Asymmetric unit:
K  0.0000  0.0000  0.0000 x1
Ca  0.0000  0.0000  0.3376 x2
Hg  0.0000  0.5000  0.1798 x4
Hg  0.0000  0.5000  0.5000 x2
Hg  0.5000  0.5000  0.0000 x1
Hg  0.5000  0.5000  0.3463 x2

---

11.
Entry from Alexandria via LeMat-Bulk: a relaxed structure of K2CaHg2 (PBE).

Output
The value obtained for the energy above the most stable polymorph in this dataset is 0.1253 eV/atom. The calculation puts the total magnetization at 0.0 μB/f.u. The calculation puts the density of states at the Fermi level at 4.92 states/eV/f.u. The value obtained for the formation energy is -0.083 eV per atom.

abc: 4.8995 4.8995 15.6570
angles: 90.00 90.00 90.00
Space group I4/mmm (No. 139)
Asymmetric unit:
K  0.0000  0.5000  0.2500 x4
Ca  0.0000  0.0000  0.0000 x2
Hg  0.0000  0.0000  0.4085 x4

---

12.
Entry from Alexandria via LeMat-Bulk: a relaxed structure of K2CaHg4 (PBE).

Output
The calculation puts the total magnetization at 0.0 μB/f.u. The calculation puts the density of states at the Fermi level at 3.57 states/eV/f.u. The value obtained for the formation energy is -0.236 eV per atom.

abc: 8.7012 5.0383 12.7280
angles: 90.00 90.07 90.00
Space group C2/m (No. 12)
Asymmetric unit:
K  0.1670  0.0000  0.3575 x4
Ca  0.0000  0.5000  0.0000 x2
Hg  0.1665  0.0000  0.0969 x4
Hg  0.1670  0.0000  0.8297 x4

---

> Among the records above, which one has the highest total magnetization?

CaTaHg2Ir